DFT (PBE) results for RbMoSe3 after structural relaxation.

Summary:
Space group = Pm-3m
ΔE_f (raw) = -0.408 eV/atom
Crystal system = cubic
Mass density = 5.3 g/cm3
Excess energy over the best structure of this formula in the dataset = 0.1435 eV per atom

a b c (Å): 5.0675 5.0675 5.0675
angles (deg): 90.00 90.00 90.00
Fractional positions:
Rb: 0.0000 0.0000 0.0000
Mo: 0.5000 0.5000 0.5000
Se: 0.0000 0.5000 0.5000
Se: 0.5000 0.0000 0.5000
Se: 0.5000 0.5000 0.0000

***

DFT (PBE) results for AcScGe3 after structural relaxation.

Summary:
Space group = Cmcm
Crystal system = orthorhombic
Formation enthalpy at 0 K = -0.638 eV/atom
Mass density = 6.9 g/cm3
Excess energy over the best structure of this formula in the dataset = 0.0000 eV per atom

a b c (Å): 13.8782 13.8782 4.0044
angles (deg): 90.00 90.00 162.11
Fractional positions:
Ac: 0.0784 0.9216 0.7500
Ac: 0.9216 0.0784 0.2500
Sc: 0.2049 0.7951 0.2500
Sc: 0.7951 0.2049 0.7500
Ge: 0.3050 0.6950 0.2500
Ge: 0.3650 0.6350 0.7500
Ge: 0.4725 0.5275 0.7500
Ge: 0.5275 0.4725 0.2500
Ge: 0.6350 0.3650 0.2500
Ge: 0.6950 0.3050 0.7500

***

DFT (PBE) results for NbW2Se6 after structural relaxation.

Summary:
Space group = C2/m
ΔE_f (raw) = -0.532 eV/atom
Crystal system = monoclinic
Mass density = 7.2 g/cm3

a b c (Å): 8.8320 8.8320 8.1065
angles (deg): 114.85 114.85 22.03
Fractional positions:
Nb: 0.0000 0.0000 0.0000
W: 0.3156 0.3156 0.6225
W: 0.6844 0.6844 0.3775
Se: 0.1649 0.1649 0.1113
Se: 0.1645 0.1645 0.5915
Se: 0.4890 0.4890 0.7470
Se: 0.5110 0.5110 0.2530
Se: 0.8355 0.8355 0.4085
Se: 0.8351 0.8351 0.8887

***

DFT (PBE) results for SrUCu2Se4 after structural relaxation.

Summary:
Space group = I222
ΔE_f (raw) = -0.824 eV/atom
Crystal system = orthorhombic
Mass density = 6.4 g/cm3

a b c (Å): 6.4007 6.4007 6.4007
angles (deg): 116.19 110.12 102.40
Fractional positions:
Sr: 0.0000 0.0000 0.0000
U: 0.5000 0.5000 0.0000
Cu: 0.3410 0.8410 0.5000
Cu: 0.6590 0.1590 0.5000
Se: 0.0847 0.0510 0.5428
Se: 0.4918 0.9490 0.0337
Se: 0.5082 0.5419 0.4572
Se: 0.9153 0.4581 0.9663

***

DFT (PBE) results for Tb2SnHg5 after structural relaxation.

Summary:
Space group = Pbam
Crystal system = orthorhombic
Formation enthalpy at 0 K = -0.379 eV/atom
Mass density = 12.1 g/cm3

a b c (Å): 6.6123 13.2439 4.5009
angles (deg): 90.00 90.00 90.00
Fractional positions:
Tb: 0.2309 0.1204 0.0000
Tb: 0.2691 0.6204 0.0000
Tb: 0.7309 0.3796 0.0000
Tb: 0.7691 0.8796 0.0000
Sn: 0.0000 0.0000 0.5000
Sn: 0.5000 0.5000 0.5000
Hg: 0.0000 0.5000 0.5000
Hg: 0.0240 0.7498 0.5000
Hg: 0.2324 0.3703 0.0000
Hg: 0.2676 0.8703 0.0000
Hg: 0.4760 0.2498 0.5000
Hg: 0.5000 0.0000 0.5000
Hg: 0.5240 0.7502 0.5000
Hg: 0.7324 0.1297 0.0000
Hg: 0.7676 0.6297 0.0000
Hg: 0.9760 0.2502 0.5000

***

DFT (PBE) results for LaMg6Mo after structural relaxation.

Summary:
Space group = Amm2
Crystal system = orthorhombic
Formation enthalpy at 0 K = 0.217 eV/atom
Mass density = 3.4 g/cm3

a b c (Å): 4.9611 6.6188 6.6188
angles (deg): 57.83 90.00 90.00
Fractional positions:
La: 0.0000 0.0000 0.0000
Mg: 0.0000 0.0177 0.5290
Mg: 0.0000 0.5290 0.0177
Mg: 0.0000 0.5410 0.5410
Mg: 0.5000 0.3808 0.3808
Mg: 0.5000 0.3897 0.8770
Mg: 0.5000 0.8770 0.3897
Mo: 0.5000 0.8912 0.8912

***

DFT (PBE) results for Ba2Mg12Pt7 after structural relaxation.

Summary:
Space group = P-6
Crystal system = hexagonal
Formation enthalpy at 0 K = -0.716 eV/atom
Mass density = 7.3 g/cm3

a b c (Å): 10.9613 10.9613 4.2427
angles (deg): 90.00 90.00 120.00
Fractional positions:
Ba: 0.0000 0.0000 0.0000
Ba: 0.3333 0.6667 0.5000
Mg: 0.0497 0.2885 0.5000
Mg: 0.1013 0.7138 0.0000
Mg: 0.2388 0.9503 0.5000
Mg: 0.2862 0.3875 0.0000
Mg: 0.3918 0.1823 0.0000
Mg: 0.5462 0.4267 0.5000
Mg: 0.5733 0.1195 0.5000
Mg: 0.6125 0.8987 0.0000
Mg: 0.7115 0.7612 0.5000
Mg: 0.7905 0.6082 0.0000
Mg: 0.8177 0.2095 0.0000
Mg: 0.8805 0.4538 0.5000
Pt: 0.0652 0.4482 0.0000
Pt: 0.2626 0.2197 0.5000
Pt: 0.3830 0.9348 0.0000
Pt: 0.5518 0.6170 0.0000
Pt: 0.6667 0.3333 0.0000
Pt: 0.7803 0.0429 0.5000
Pt: 0.9571 0.7374 0.5000

***

DFT (PBE) results for Ac2Tb2Pr15 after structural relaxation.

Summary:
Space group = R-3m
Crystal system = trigonal
Formation enthalpy at 0 K = 0.207 eV/atom
Mass density = 6.7 g/cm3

a b c (Å): 9.0792 9.0792 9.0792
angles (deg): 80.06 80.06 80.06
Fractional positions:
Ac: 0.1737 0.1737 0.1737
Ac: 0.8263 0.8263 0.8263
Tb: 0.4073 0.4073 0.4073
Tb: 0.5927 0.5927 0.5927
Pr: 0.0000 0.5000 0.5000
Pr: 0.1318 0.1318 0.6509
Pr: 0.1318 0.6509 0.1318
Pr: 0.2074 0.5000 0.7926
Pr: 0.2074 0.7926 0.5000
Pr: 0.3491 0.8682 0.8682
Pr: 0.5000 0.0000 0.5000
Pr: 0.5000 0.2074 0.7926
Pr: 0.5000 0.5000 0.0000
Pr: 0.5000 0.7926 0.2074
Pr: 0.6509 0.1318 0.1318
Pr: 0.7926 0.2074 0.5000
Pr: 0.7926 0.5000 0.2074
Pr: 0.8682 0.3491 0.8682
Pr: 0.8682 0.8682 0.3491

***

DFT (PBE) results for CaFe2P after structural relaxation.

Summary:
Space group = C2/m
Crystal system = monoclinic
Formation enthalpy at 0 K = 0.311 eV/atom
Mass density = 4.8 g/cm3

a b c (Å): 5.4098 5.4098 2.9114
angles (deg): 105.31 105.31 118.98
Fractional positions:
Ca: 0.0000 0.0000 0.0000
Fe: 0.0000 0.5000 0.5000
Fe: 0.5000 0.0000 0.5000
P: 0.5000 0.5000 0.0000

***

DFT (PBE) results for Ti2CoIrBr after structural relaxation.

Summary:
Space group = P4/mmm
ΔE_f (raw) = 0.998 eV/atom
Crystal system = tetragonal
Mass density = 6.1 g/cm3

a b c (Å): 4.7484 4.7484 5.1209
angles (deg): 90.00 90.00 90.00
Fractional positions:
Ti: 0.0000 0.5000 0.0000
Ti: 0.5000 0.0000 0.0000
Co: 0.0000 0.0000 0.5000
Ir: 0.5000 0.5000 0.0000
Br: 0.5000 0.5000 0.5000

***

DFT (PBE) results for TmHfCd after structural relaxation.

Summary:
Space group = P4/nmm
Crystal system = tetragonal
Formation enthalpy at 0 K = -0.072 eV/atom
Mass density = 10.5 g/cm3
Excess energy over the best structure of this formula in the dataset = 0.0272 eV per atom

a b c (Å): 3.2939 3.2939 13.3448
angles (deg): 90.00 90.00 90.00
Fractional positions:
Tm: 0.2500 0.2500 0.2465
Tm: 0.7500 0.7500 0.7535
Hf: 0.2500 0.2500 0.5790
Hf: 0.7500 0.7500 0.4210
Cd: 0.2500 0.2500 0.9251
Cd: 0.7500 0.7500 0.0749

***

DFT (PBE) results for BaY3 after structural relaxation.

Summary:
Space group = P4/mmm
Crystal system = tetragonal
Formation enthalpy at 0 K = 0.155 eV/atom
Mass density = 4.5 g/cm3
Excess energy over the best structure of this formula in the dataset = 0.0134 eV per atom

a b c (Å): 3.7146 3.7146 10.8300
angles (deg): 90.00 90.00 90.00
Fractional positions:
Ba: 0.0000 0.0000 0.0000
Y: 0.0000 0.0000 0.5000
Y: 0.5000 0.5000 0.2827
Y: 0.5000 0.5000 0.7173

***

DFT (PBE) results for MgTaAs2 after structural relaxation.

Summary:
Space group = Cmmm
Crystal system = orthorhombic
Formation enthalpy at 0 K = -0.098 eV/atom
Mass density = 7.9 g/cm3

a b c (Å): 3.1572 3.1572 7.8752
angles (deg): 90.00 90.00 107.86
Fractional positions:
Mg: 0.0000 0.0000 0.0000
Ta: 0.0000 0.0000 0.5000
As: 0.5000 0.5000 0.2614
As: 0.5000 0.5000 0.7386

***

DFT (PBE) results for CaBe2Ru after structural relaxation.

Summary:
Space group = Cm
Crystal system = monoclinic
Formation enthalpy at 0 K = -0.133 eV/atom
Mass density = 4.0 g/cm3
Excess energy over the best structure of this formula in the dataset = 0.0000 eV per atom

a b c (Å): 3.8289 3.8289 5.6665
angles (deg): 109.84 109.84 60.03
Fractional positions:
Ca: 0.0000 0.0000 0.0000
Be: 0.1853 0.1853 0.5554
Be: 0.5122 0.5122 0.5362
Ru: 0.8093 0.8093 0.4276

***

DFT (PBE) results for LaY12Ho5 after structural relaxation.

Summary:
Space group = Cmmm
Crystal system = orthorhombic
Formation enthalpy at 0 K = 0.027 eV/atom
Mass density = 5.8 g/cm3

a b c (Å): 10.7125 10.7125 5.0458
angles (deg): 90.00 90.00 90.06
Fractional positions:
La: 0.0000 0.0000 0.0000
Y: 0.0012 0.6649 0.0000
Y: 0.1680 0.1680 0.5000
Y: 0.1689 0.5010 0.5000
Y: 0.3347 0.3347 0.0000
Y: 0.3351 0.9988 0.0000
Y: 0.4990 0.8311 0.5000
Y: 0.5010 0.1689 0.5000
Y: 0.6649 0.0012 0.0000
Y: 0.6653 0.6653 0.0000
Y: 0.8311 0.4990 0.5000
Y: 0.8320 0.8320 0.5000
Y: 0.9988 0.3351 0.0000
Ho: 0.1690 0.8310 0.5000
Ho: 0.3335 0.6665 0.0000
Ho: 0.5000 0.5000 0.5000
Ho: 0.6665 0.3335 0.0000
Ho: 0.8310 0.1690 0.5000

***

DFT (PBE) results for HfNi2HIr after structural relaxation.

Summary:
Space group = P4/mmm
Crystal system = tetragonal
Mass density = 13.9 g/cm3
Excess energy over the best structure of this formula in the dataset = 0.0430 eV per atom

a b c (Å): 3.7548 3.7548 4.1308
angles (deg): 90.00 90.00 90.00
Fractional positions:
Hf: 0.0000 0.0000 0.0000
Ni: 0.0000 0.5000 0.5000
Ni: 0.5000 0.0000 0.5000
H: 0.0000 0.0000 0.5000
Ir: 0.5000 0.5000 0.0000

***

DFT (PBE) results for MnAlCd after structural relaxation.

Summary:
Space group = F-43m
Crystal system = cubic
Formation enthalpy at 0 K = 0.341 eV/atom
Mass density = 5.4 g/cm3
Excess energy over the best structure of this formula in the dataset = 0.2764 eV per atom

a b c (Å): 4.3855 4.3855 4.3855
angles (deg): 60.00 60.00 60.00
Fractional positions:
Mn: 0.0000 0.0000 0.0000
Al: 0.2500 0.2500 0.2500
Cd: 0.7500 0.7500 0.7500

***

DFT (PBE) results for Te2PtW after structural relaxation.

Summary:
Space group = P4mm
ΔE_f (raw) = 0.196 eV/atom
Crystal system = tetragonal
Mass density = 11.4 g/cm3
Excess energy over the best structure of this formula in the dataset = 0.1452 eV per atom

a b c (Å): 3.1491 3.1491 9.2819
angles (deg): 90.00 90.00 90.00
Fractional positions:
Te: 0.0000 0.0000 0.0000
Te: 0.5000 0.5000 0.4026
Pt: 0.5000 0.5000 0.7707
W: 0.0000 0.0000 0.5871

***

DFT (PBE) results for SnMoH3 after structural relaxation.

Summary:
Space group = Pm-3m
Crystal system = cubic
Mass density = 6.8 g/cm3
Excess energy over the best structure of this formula in the dataset = 0.9588 eV per atom

a b c (Å): 3.7510 3.7510 3.7510
angles (deg): 90.00 90.00 90.00
Fractional positions:
Sn: 0.0000 0.0000 0.0000
Mo: 0.5000 0.5000 0.5000
H: 0.0000 0.0000 0.5000
H: 0.0000 0.5000 0.0000
H: 0.5000 0.0000 0.0000

***

DFT (PBE) results for ScMnSi after structural relaxation.

Summary:
Space group = F-43m
ΔE_f (raw) = 0.457 eV/atom
Crystal system = cubic
Mass density = 3.4 g/cm3

a b c (Å): 4.4480 4.4480 4.4480
angles (deg): 60.00 60.00 60.00
Fractional positions:
Sc: 0.0000 0.0000 0.0000
Mn: 0.7500 0.7500 0.7500
Si: 0.2500 0.2500 0.2500

***

DFT (PBE) results for Na3Sm2RhO6 after structural relaxation.

Summary:
Space group = C2/m
ΔE_f (raw) = -2.103 eV/atom
Crystal system = monoclinic
Mass density = 5.7 g/cm3

a b c (Å): 5.8139 5.8139 5.9372
angles (deg): 99.01 99.01 120.04
Fractional positions:
Na: 0.0000 0.0000 0.0000
Na: 0.3492 0.6508 0.0000
Na: 0.6508 0.3492 0.0000
Sm: 0.1677 0.8323 0.5000
Sm: 0.8323 0.1677 0.5000
Rh: 0.5000 0.5000 0.5000
O: 0.1196 0.4288 0.2818
O: 0.2569 0.2569 0.7131
O: 0.4288 0.1196 0.2818
O: 0.5712 0.8804 0.7182
O: 0.7431 0.7431 0.2869
O: 0.8804 0.5712 0.7182

***

DFT (PBE) results for BeSbP2O after structural relaxation.

Summary:
Space group = P4/mmm
ΔE_f (raw) = 0.828 eV/atom
Crystal system = tetragonal
Mass density = 3.5 g/cm3
Excess energy over the best structure of this formula in the dataset = 0.9117 eV per atom

a b c (Å): 5.0909 5.0909 3.8574
angles (deg): 90.00 90.00 90.00
Fractional positions:
Be: 0.0000 0.0000 0.0000
Sb: 0.5000 0.5000 0.5000
P: 0.0000 0.5000 0.5000
P: 0.5000 0.0000 0.5000
O: 0.5000 0.5000 0.0000

***

DFT (PBE) results for Ho3Zn2Ni after structural relaxation.

Summary:
Space group = P4/mmm
Crystal system = tetragonal
Formation enthalpy at 0 K = -0.377 eV/atom
Mass density = 8.9 g/cm3
Excess energy over the best structure of this formula in the dataset = 0.0000 eV per atom

a b c (Å): 3.4812 3.4812 10.4789
angles (deg): 90.00 90.00 90.00
Fractional positions:
Ho: 0.0000 0.0000 0.0000
Ho: 0.0000 0.0000 0.3458
Ho: 0.0000 0.0000 0.6542
Zn: 0.5000 0.5000 0.1694
Zn: 0.5000 0.5000 0.8306
Ni: 0.5000 0.5000 0.5000

***

DFT (PBE) results for LaTaCo2 after structural relaxation.

Summary:
Space group = P4/mmm
Crystal system = tetragonal
Formation enthalpy at 0 K = 0.214 eV/atom
Mass density = 10.6 g/cm3
Excess energy over the best structure of this formula in the dataset = 0.2905 eV per atom

a b c (Å): 4.7772 4.7772 2.9908
angles (deg): 90.00 90.00 90.00
Fractional positions:
La: 0.0000 0.0000 0.0000
Ta: 0.5000 0.5000 0.0000
Co: 0.0000 0.5000 0.5000
Co: 0.5000 0.0000 0.5000